Record 1
The following is a DFT calculation (PBE) of crystalline LuNbCuSn at its relaxed geometry.

a = 4.823 Å, b = 4.823 Å, c = 4.823 Å
α = 60.00°, β = 60.00°, γ = 60.00°
Fractional positions:
1 Cu 0.750 0.750 0.750
2 Lu 0.500 0.500 0.500
3 Nb 0.250 0.250 0.250
4 Sn 0.000 0.000 0.000

Values from the calculation:
For the spin magnetization, the calculation gives 1.323 μB/cell. For the polymorph energy (0 for the lowest one), the calculation gives 0.0000 eV/atom.



Record 2
The following is a DFT calculation (PBE) of crystalline LuNbTlCu at its relaxed geometry.

a = 4.886 Å, b = 4.886 Å, c = 4.886 Å
α = 60.00°, β = 60.00°, γ = 60.00°
Fractional positions:
1 Cu 0.750 0.750 0.750
2 Lu 0.500 0.500 0.500
3 Nb 0.250 0.250 0.250
4 Tl 0.000 0.000 0.000

Values from the calculation:
For the spin magnetization, the calculation gives 2.659 μB/cell. For the polymorph energy (0 for the lowest one), the calculation gives 0.0000 eV/atom.



Record 3
The following is a DFT calculation (PBE) of crystalline NdLuCuTe3 at its relaxed geometry.

a = 7.440 Å, b = 7.440 Å, c = 11.016 Å
α = 90.00°, β = 90.00°, γ = 147.42°
Fractional positions:
1 Cu 0.032 0.968 0.250
2 Cu 0.968 0.032 0.750
3 Lu 0.500 0.500 0.000
4 Lu 0.500 0.500 0.500
5 Nd 0.732 0.268 0.250
6 Nd 0.268 0.732 0.750
7 Te 0.146 0.854 0.061
8 Te 0.412 0.588 0.250
9 Te 0.146 0.854 0.439
10 Te 0.854 0.146 0.561
11 Te 0.588 0.412 0.750
12 Te 0.854 0.146 0.939

Values from the calculation:
The final energy is -4.756 eV/atom. For the spin magnetization, the calculation gives 0.019 μB/cell.



Record 4
The following is a DFT calculation (PBE) of crystalline LuCuNi at its relaxed geometry.

a = 4.358 Å, b = 4.358 Å, c = 4.358 Å
α = 60.00°, β = 60.00°, γ = 60.00°
Fractional positions:
1 Cu 0.250 0.250 0.250
2 Lu 0.000 0.000 0.000
3 Ni 0.750 0.750 0.750

Values from the calculation:
The calculation puts the energy relative to the elements at 296 meV/atom. For the spin magnetization, the calculation gives 0.002 μB/cell.



Record 5
The following is a DFT calculation (PBE) of crystalline LuCuNi2 at its relaxed geometry.

a = 4.351 Å, b = 4.351 Å, c = 4.351 Å
α = 60.00°, β = 60.00°, γ = 60.00°
Fractional positions:
1 Cu 0.250 0.250 0.250
2 Lu 0.500 0.500 0.500
3 Ni 0.000 0.000 0.000
4 Ni 0.750 0.750 0.750

Values from the calculation:
The calculation puts the energy relative to the elements at -182 meV/atom. For the spin magnetization, the calculation gives 0.001 μB/cell.



Record 6
The following is a DFT calculation (PBE) of crystalline Lu2CuNi at its relaxed geometry.

a = 4.613 Å, b = 4.613 Å, c = 4.613 Å
α = 60.00°, β = 60.00°, γ = 60.00°
Fractional positions:
1 Cu 0.250 0.250 0.250
2 Lu 0.000 0.000 0.000
3 Lu 0.750 0.750 0.750
4 Ni 0.500 0.500 0.500

Values from the calculation:
The calculation puts the energy relative to the elements at -24 meV/atom. For the spin magnetization, the calculation gives 0.000 μB/cell.



| no. | theoretical density (g cm⁻³) |
| --- | --- |
| 1 | 9.4 |
| 2 | 10.8 |
| 3 | 7.7 |
| 4 | 8.4 |
| 5 | 10.1 |
| 6 | 11.3 |